# 1
Co4B6O13: PBEsol geometry, meta-GGA SCAN.

formation energy from raw total energies = -2.169 eV per atom
final energy = -10.639 eV/atom
space group = I-43m, No. 217

```
Co4B6O13
1.0
6.440 0.000 0.000
-2.147 6.072 0.000
-2.147 -3.036 5.258
Co B O
4 6 13
direct
0.699 0.699 0.699
0.000 0.301 0.000
0.301 0.000 0.000
0.000 0.000 0.301
0.250 0.500 0.750
0.750 0.250 0.500
0.250 0.750 0.500
0.500 0.250 0.750
0.500 0.750 0.250
0.750 0.500 0.250
0.000 0.000 0.000
0.273 0.553 0.000
0.727 0.727 0.280
0.553 0.000 0.273
0.447 0.447 0.720
0.000 0.273 0.553
0.280 0.727 0.727
0.720 0.447 0.447
0.273 0.000 0.553
0.727 0.280 0.727
0.000 0.553 0.273
0.553 0.273 0.000
0.447 0.720 0.447
```

# 2
CoBO2: PBEsol geometry, meta-GGA SCAN.

formation energy from raw total energies = -1.447 eV per atom
final energy = -10.747 eV/atom
space group = I-42d, No. 122

```
CoBO2
1.0
4.216 0.000 0.000
-2.108 4.096 -0.059
0.000 2.222 3.583
B Co O
2 2 4
direct
0.250 0.500 0.250
0.500 0.000 0.500
0.750 0.500 0.750
0.000 0.000 0.000
0.515 0.750 0.375
0.235 0.750 0.875
0.875 0.250 0.515
0.375 0.250 0.235
```

# 3
Co2BO4: PBEsol geometry, meta-GGA SCAN.

formation energy from raw total energies = -1.802 eV per atom
final energy = -11.369 eV/atom
space group = Pnma, No. 62

```
Co2BO4
1.0
2.896 0.000 0.000
0.000 9.100 0.000
0.000 0.000 9.189
Co B O
8 4 16
direct
0.750 0.381 0.561
0.250 0.619 0.439
0.250 0.119 0.061
0.750 0.881 0.939
0.750 0.395 0.198
0.250 0.605 0.802
0.250 0.105 0.698
0.750 0.895 0.302
0.750 0.335 0.874
0.250 0.665 0.126
0.250 0.165 0.374
0.750 0.835 0.626
0.750 0.993 0.111
0.250 0.007 0.889
0.250 0.507 0.611
0.750 0.493 0.389
0.750 0.263 0.741
0.250 0.737 0.259
0.250 0.237 0.241
0.750 0.763 0.759
0.750 0.483 0.876
0.250 0.517 0.124
0.250 0.017 0.376
0.750 0.983 0.624
0.750 0.256 0.005
0.250 0.744 0.995
0.250 0.244 0.505
0.750 0.756 0.495
```